VASP calculation (PBE) on a geometry-optimized Mg2RuCl structure.

Lattice parameters (Å, degrees): 2.949 4.537 5.523 90.00 90.00 90.00
Space group Pmm2 (No. 25)
Unique sites:
Mg  0.000  0.000  0.000 x1
Mg  0.500  0.500  0.375 x1
Ru  0.000  0.000  0.477 x1
Cl  0.500  0.500  0.898 x1

The calculation puts the density of states at the Fermi level at 3.178 states/eV/f.u.

=====

VASP calculation (PBE) on a geometry-optimized MgRu2Cl structure.

Lattice parameters (Å, degrees): 2.950 2.926 7.631 90.00 100.30 90.00
Space group Pm (No. 6)
Unique sites:
Mg  0.000  0.000  0.000 x1
Ru  0.378  0.500  0.745 x1
Ru  0.784  0.000  0.540 x1
Cl  0.646  0.500  0.252 x1

The calculation puts the density of states at the Fermi level at 3.518 states/eV/f.u.

=====

VASP calculation (PBE) on a geometry-optimized MgRuCl2 structure.

Lattice parameters (Å, degrees): 3.2963 3.2963 33.9046 90.00 90.00 120.00
Space group R-3m (No. 166, hexagonal axes)
Unique sites:
Mg  0.0000  0.0000  0.0000 x3
Ru  0.0000  0.0000  0.5000 x3
Cl  0.0000  0.0000  0.2889 x6

The calculation puts the density of states at the Fermi level at 1.765 states/eV/f.u.

=====

VASP calculation (PBE) on a geometry-optimized Mg2RuCl structure.

Lattice parameters (Å, degrees): 3.005 3.005 9.361 90.00 90.00 90.00
Space group P4mm (No. 99)
Unique sites:
Mg  0.000  0.000  0.000 x1
Mg  0.500  0.500  0.282 x1
Ru  0.000  0.000  0.471 x1
Cl  0.500  0.500  0.843 x1

The calculation puts the density of states at the Fermi level at 2.702 states/eV/f.u.

=====

VASP calculation (PBE) on a geometry-optimized MgRu2Cl structure.

Lattice parameters (Å, degrees): 2.866 4.586 4.776 90.00 90.00 90.00
Space group Pmmm (No. 47)
Unique sites:
Mg  0.000  0.000  0.000 x1
Ru  0.000  0.500  0.500 x1
Ru  0.500  0.000  0.500 x1
Cl  0.500  0.500  0.000 x1

The calculation puts the density of states at the Fermi level at 4.459 states/eV/f.u.

=====

VASP calculation (PBE) on a geometry-optimized MgRu2Cl structure.

Lattice parameters (Å, degrees): 2.947 2.947 7.391 90.00 90.00 90.00
Space group P4mm (No. 99)
Unique sites:
Mg  0.000  0.000  0.000 x1
Ru  0.000  0.000  0.465 x1
Ru  0.500  0.500  0.261 x1
Cl  0.500  0.500  0.750 x1

The calculation puts the density of states at the Fermi level at 3.802 states/eV/f.u.

=====

no.,final energy (eV/atom)
1,-3.616
2,-5.591
3,-3.879
4,-3.501
5,-5.093
6,-5.526